An optimized crystal structure of P2RhSeS. Source: the Alexandria database, functional GGA-PBE.

Properties
Excess energy over the best structure of this formula in the dataset ... 0 meV per atom
Energy relative to the elements, uncorrected ... 0.65 eV per atom
Space group ... P4/mmm
Size of the total moment ... 0.000 μB/atom

Cell and atoms, written as extended XYZ:
```
5
Lattice="4.530 0.000 0.000 0.000 4.530 0.000 0.000 0.000 4.804" Properties=species:S:1:pos:R:3 pbc="T T T"
P 0.000 2.265 0.000
P 2.265 0.000 0.000
Rh 0.000 0.000 0.000
Se 2.265 2.265 2.402
S 0.000 0.000 2.402
```